Version i
A plane-wave DFT calculation with PBE was carried out for Pm6DyMg after structural relaxation.

Unit cell a=10.7233 b=10.7233 c=10.7233 alpha=152.57 beta=152.57 gamma=39.17
Fractional coordinates of all 8 atoms:
Pm1 0.1215 0.6215 0.5000
Pm2 0.2484 0.2484 0.0000
Pm3 0.3785 0.8785 0.5000
Pm4 0.6215 0.1215 0.5000
Pm5 0.7516 0.7516 0.0000
Pm6 0.8785 0.3785 0.5000
Dy1 0.0000 0.0000 0.0000
Mg1 0.5000 0.5000 0.0000

Results
- D(E_F): 11.1 states/eV per cell
- M_tot: 0.00 Bohr magnetons per cell



Version ii
A plane-wave DFT calculation with PBE was carried out for Pm6DyMg after structural relaxation.

Unit cell a=6.7189 b=6.7189 c=6.6479 alpha=90.01 beta=90.01 gamma=119.92
Fractional coordinates of all 8 atoms:
Pm1 0.0715 0.4988 0.7542
Pm2 0.0730 0.0730 0.2455
Pm3 0.4988 0.0715 0.7542
Pm4 0.5012 0.9285 0.2458
Pm5 0.9270 0.9270 0.7545
Pm6 0.9285 0.5012 0.2458
Dy1 0.5000 0.5000 0.5000
Mg1 0.5000 0.5000 0.0000

Results
- D(E_F): 11.4 states/eV per cell
- M_tot: 0.00 Bohr magnetons per cell



Preferred: version i; penalty for the next structure: 0.105 eV/atom.



Version i
A plane-wave DFT calculation with PBE was carried out for Pm2Dy4Mg after structural relaxation.

Unit cell a=6.7065 b=6.7065 c=6.7065 alpha=104.29 beta=104.29 gamma=120.41
Fractional coordinates of all 7 atoms:
Pm1 0.2500 0.7500 0.5000
Pm2 0.7500 0.2500 0.5000
Dy1 0.2219 0.2219 0.5943
Dy2 0.3724 0.7781 0.0000
Dy3 0.6276 0.6276 0.4057
Dy4 0.7781 0.3724 0.0000
Mg1 0.0000 0.0000 0.0000

Results
- D(E_F): 10.2 states/eV per cell
- M_tot: 1.02 Bohr magnetons per cell



Version ii
A plane-wave DFT calculation with PBE was carried out for Pm2Dy4Mg after structural relaxation.

Unit cell a=6.6586 b=6.6586 c=6.3485 alpha=100.79 beta=100.79 gamma=121.27
Fractional coordinates of all 7 atoms:
Pm1 0.1991 0.1991 0.3250
Pm2 0.8009 0.8009 0.6750
Dy1 0.0028 0.4238 0.7423
Dy2 0.4238 0.0028 0.7423
Dy3 0.5762 0.9972 0.2577
Dy4 0.9972 0.5762 0.2577
Mg1 0.5000 0.5000 0.0000

Results
- D(E_F): 9.9 states/eV per cell
- M_tot: 0.00 Bohr magnetons per cell



Preferred: version ii; penalty for the next structure: 0.181 eV/atom.



Version i
A plane-wave DFT calculation with PBE was carried out for Pm2Dy3Mg after structural relaxation.

Unit cell a=7.6115 b=7.6115 c=6.7911 alpha=94.12 beta=94.12 gamma=99.10
Fractional coordinates of all 12 atoms:
Pm1 0.0696 0.6042 0.8060
Pm2 0.3958 0.9304 0.6940
Pm3 0.6042 0.0696 0.3060
Pm4 0.9304 0.3958 0.1940
Dy1 0.0500 0.9500 0.2500
Dy2 0.2896 0.3298 0.5156
Dy3 0.3298 0.2896 0.0156
Dy4 0.6702 0.7104 0.9844
Dy5 0.7104 0.6702 0.4844
Dy6 0.9500 0.0500 0.7500
Mg1 0.3215 0.6785 0.2500
Mg2 0.6785 0.3215 0.7500

Results
- D(E_F): 14.6 states/eV per cell
- M_tot: 0.00 Bohr magnetons per cell



Version ii
A plane-wave DFT calculation with PBE was carried out for Pm2Dy3Mg after structural relaxation.

Unit cell a=7.9146 b=7.9146 c=7.9146 alpha=155.82 beta=101.23 gamma=83.85
Fractional coordinates of all 6 atoms:
Pm1 0.1712 0.0000 0.1712
Pm2 0.8288 0.0000 0.8288
Dy1 0.2689 0.2689 0.0000
Dy2 0.5853 0.2498 0.3356
Dy3 0.9142 0.2498 0.6644
Mg1 0.5121 0.0121 0.5000

Results
- D(E_F): 9.9 states/eV per cell
- M_tot: 0.00 Bohr magnetons per cell



Preferred: version i; penalty for the next structure: 0.252 eV/atom.



Version i
A plane-wave DFT calculation with PBE was carried out for PmDy2Mg2 after structural relaxation.

Unit cell a=3.7562 b=5.4882 c=14.0949 alpha=90.00 beta=97.68 gamma=90.00
Fractional coordinates of all 10 atoms:
Pm1 0.1508 0.2500 0.3010
Pm2 0.8492 0.7500 0.6990
Dy1 0.0445 0.7500 0.0890
Dy2 0.2370 0.7500 0.4748
Dy3 0.7630 0.2500 0.5252
Dy4 0.9555 0.2500 0.9110
Mg1 0.3605 0.2500 0.7199
Mg2 0.4486 0.7500 0.8971
Mg3 0.5514 0.2500 0.1029
Mg4 0.6395 0.7500 0.2801

Results
- D(E_F): 11.4 states/eV per cell
- M_tot: 0.00 Bohr magnetons per cell



Version ii
A plane-wave DFT calculation with PBE was carried out for PmDy2Mg2 after structural relaxation.

Unit cell a=8.9886 b=8.9886 c=3.6184 alpha=90.00 beta=90.00 gamma=90.00
Fractional coordinates of all 10 atoms:
Pm1 0.0000 0.0000 0.0000
Pm2 0.5000 0.5000 0.0000
Dy1 0.1319 0.3681 0.0000
Dy2 0.3681 0.8681 0.0000
Dy3 0.6319 0.1319 0.0000
Dy4 0.8681 0.6319 0.0000
Mg1 0.1654 0.6654 0.5000
Mg2 0.3346 0.1654 0.5000
Mg3 0.6654 0.8346 0.5000
Mg4 0.8346 0.3346 0.5000

Results
- D(E_F): 13.7 states/eV per cell
- M_tot: 0.00 Bohr magnetons per cell



Preferred: version i; penalty for the next structure: 0.123 eV/atom.



Version i
A plane-wave DFT calculation with PBE was carried out for Pm2Dy2Mg after structural relaxation.

Unit cell a=13.1533 b=13.1533 c=13.1533 alpha=157.35 beta=157.35 gamma=32.25
Fractional coordinates of all 10 atoms:
Pm1 0.0462 0.2962 0.7500
Pm2 0.2962 0.0462 0.2500
Pm3 0.7038 0.9538 0.7500
Pm4 0.9538 0.7038 0.2500
Dy1 0.1997 0.4497 0.7500
Dy2 0.4497 0.1997 0.2500
Dy3 0.5503 0.8003 0.7500
Dy4 0.8003 0.5503 0.2500
Mg1 0.1250 0.8750 0.2500
Mg2 0.8750 0.1250 0.7500

Results
- D(E_F): 16.8 states/eV per cell
- M_tot: 0.00 Bohr magnetons per cell



Version ii
A plane-wave DFT calculation with PBE was carried out for Pm2Dy2Mg after structural relaxation.

Unit cell a=9.3932 b=9.3932 c=9.3932 alpha=158.14 beta=149.77 gamma=37.62
Fractional coordinates of all 5 atoms:
Pm1 0.0956 0.0956 0.0000
Pm2 0.9044 0.9044 0.0000
Dy1 0.2966 0.2966 0.0000
Dy2 0.7034 0.7034 0.0000
Mg1 0.5000 0.5000 0.0000

Results
- D(E_F): 7.4 states/eV per cell
- M_tot: 0.00 Bohr magnetons per cell



Preferred: version ii; penalty for the next structure: 0.181 eV/atom.



Version i
A plane-wave DFT calculation with PBE was carried out for Pm6Dy2Mg after structural relaxation.

Unit cell a=10.7162 b=10.7162 c=5.1125 alpha=90.00 beta=90.00 gamma=90.00
Fractional coordinates of all 18 atoms:
Pm1 0.0006 0.3323 0.0000
Pm2 0.1636 0.8364 0.5000
Pm3 0.1677 0.5006 0.5000
Pm4 0.3323 0.0006 0.0000
Pm5 0.3364 0.3364 0.0000
Pm6 0.4994 0.8323 0.5000
Pm7 0.5006 0.1677 0.5000
Pm8 0.6636 0.6636 0.0000
Pm9 0.6677 0.9994 0.0000
Pm10 0.8323 0.4994 0.5000
Pm11 0.8364 0.1636 0.5000
Pm12 0.9994 0.6677 0.0000
Dy1 0.1678 0.1678 0.5000
Dy2 0.3322 0.6678 0.0000
Dy3 0.6678 0.3322 0.0000
Dy4 0.8322 0.8322 0.5000
Mg1 0.0000 0.0000 0.0000
Mg2 0.5000 0.5000 0.5000

Results
- D(E_F): 26.3 states/eV per cell
- M_tot: 0.00 Bohr magnetons per cell



Version ii
A plane-wave DFT calculation with PBE was carried out for Pm6Dy2Mg after structural relaxation.

Unit cell a=11.5692 b=11.5692 c=6.1092 alpha=105.29 beta=105.29 gamma=48.34
Fractional coordinates of all 18 atoms:
Pm1 0.0038 0.1544 0.2321
Pm2 0.0807 0.5810 0.0808
Pm3 0.1544 0.0038 0.7321
Pm4 0.3463 0.4959 0.5729
Pm5 0.4190 0.9193 0.4192
Pm6 0.4959 0.3463 0.0729
Pm7 0.5041 0.6537 0.9271
Pm8 0.5810 0.0807 0.5808
Pm9 0.6537 0.5041 0.4271
Pm10 0.8456 0.9962 0.2679
Pm11 0.9193 0.4190 0.9192
Pm12 0.9962 0.8456 0.7679
Dy1 0.1703 0.3300 0.5506
Dy2 0.3300 0.1703 0.0506
Dy3 0.6700 0.8297 0.9494
Dy4 0.8297 0.6700 0.4494
Mg1 0.2495 0.7505 0.2500
Mg2 0.7505 0.2495 0.7500

Results
- D(E_F): 23.4 states/eV per cell
- M_tot: 0.00 Bohr magnetons per cell



Preferred: version i; penalty for the next structure: 0.044 eV/atom.



Version i
A plane-wave DFT calculation with PBE was carried out for Pm5Dy2Mg after structural relaxation.

Unit cell a=8.4910 b=7.2436 c=6.7698 alpha=74.50 beta=55.29 gamma=50.20
Fractional coordinates of all 8 atoms:
Pm1 0.0000 0.0000 0.0000
Pm2 0.0015 0.4811 0.9985
Pm3 0.4099 0.4099 0.0901
Pm4 0.4811 0.0015 0.5189
Pm5 0.9099 0.9099 0.5901
Dy1 0.4157 0.8998 0.1002
Dy2 0.8998 0.4157 0.5843
Mg1 0.4943 0.4943 0.5057

Results
- D(E_F): 9.5 states/eV per cell
- M_tot: 0.00 Bohr magnetons per cell



Version ii
A plane-wave DFT calculation with PBE was carried out for Pm5Dy2Mg after structural relaxation.

Unit cell a=7.1172 b=7.1172 c=7.1172 alpha=119.51 beta=119.51 gamma=90.85
Fractional coordinates of all 8 atoms:
Pm1 0.0000 0.0000 0.0000
Pm2 0.0000 0.0000 0.5000
Pm3 0.0000 0.5000 0.0000
Pm4 0.5000 0.0000 0.0000
Pm5 0.5000 0.5000 0.5000
Dy1 0.0000 0.5000 0.5000
Dy2 0.5000 0.0000 0.5000
Mg1 0.5000 0.5000 0.0000

Results
- D(E_F): 7.3 states/eV per cell
- M_tot: 0.00 Bohr magnetons per cell



Preferred: version i; penalty for the next structure: 0.008 eV/atom.



Version i
A plane-wave DFT calculation with PBE was carried out for PmDy2Mg after structural relaxation.

Unit cell a=4.9189 b=4.9189 c=4.9751 alpha=90.00 beta=90.00 gamma=90.00
Fractional coordinates of all 4 atoms:
Pm1 0.0000 0.0000 0.0000
Dy1 0.0000 0.5000 0.5000
Dy2 0.5000 0.0000 0.5000
Mg1 0.5000 0.5000 0.0000

Results
- D(E_F): 6.9 states/eV per cell
- M_tot: 0.00 Bohr magnetons per cell



Version ii
A plane-wave DFT calculation with PBE was carried out for PmDy2Mg after structural relaxation.

Unit cell a=3.5352 b=3.5352 c=11.5233 alpha=98.86 beta=98.86 gamma=59.86
Fractional coordinates of all 4 atoms:
Pm1 0.0000 0.0000 0.0000
Dy1 0.4198 0.4198 0.2589
Dy2 0.5810 0.5810 0.7438
Mg1 0.1676 0.1676 0.5009

Results
- D(E_F): 5.8 states/eV per cell
- M_tot: 0.00 Bohr magnetons per cell



Version iii
A plane-wave DFT calculation with PBE was carried out for PmDy2Mg after structural relaxation.

Unit cell a=5.5367 b=5.5367 c=5.5367 alpha=60.00 beta=60.00 gamma=60.00
Fractional coordinates of all 4 atoms:
Pm1 0.0000 0.0000 0.0000
Dy1 0.2500 0.2500 0.2500
Dy2 0.7500 0.7500 0.7500
Mg1 0.5000 0.5000 0.5000

Results
- D(E_F): 5.5 states/eV per cell
- M_tot: 0.00 Bohr magnetons per cell



Preferred: version i; penalty for the next structure: 0.028 eV/atom.



Version i
A plane-wave DFT calculation with PBE was carried out for Pm2Dy7Mg2 after structural relaxation.

Unit cell a=6.6288 b=6.6288 c=8.1422 alpha=100.03 beta=100.03 gamma=90.24
Fractional coordinates of all 11 atoms:
Pm1 0.1803 0.8197 0.0000
Pm2 0.8197 0.1803 0.0000
Dy1 0.0000 0.0000 0.5000
Dy2 0.1109 0.5187 0.3254
Dy3 0.3074 0.3074 0.9703
Dy4 0.4813 0.8891 0.6746
Dy5 0.5187 0.1109 0.3254
Dy6 0.6926 0.6926 0.0297
Dy7 0.8891 0.4813 0.6746
Mg1 0.4037 0.4037 0.6480
Mg2 0.5963 0.5963 0.3520

Results
- D(E_F): 15.3 states/eV per cell
- M_tot: 0.00 Bohr magnetons per cell



Version ii
A plane-wave DFT calculation with PBE was carried out for Pm2Dy7Mg2 after structural relaxation.

Unit cell a=6.5310 b=6.5310 c=8.5152 alpha=102.38 beta=102.38 gamma=96.54
Fractional coordinates of all 11 atoms:
Pm1 0.1830 0.8170 0.0000
Pm2 0.8170 0.1830 0.0000
Dy1 0.0247 0.3828 0.6767
Dy2 0.3553 0.3553 0.0841
Dy3 0.3828 0.0247 0.6767
Dy4 0.5000 0.5000 0.5000
Dy5 0.6172 0.9753 0.3233
Dy6 0.6447 0.6447 0.9159
Dy7 0.9753 0.6172 0.3233
Mg1 0.1160 0.1160 0.3354
Mg2 0.8840 0.8840 0.6646

Results
- D(E_F): 14.9 states/eV per cell
- M_tot: 0.00 Bohr magnetons per cell



Preferred: version ii; penalty for the next structure: 0.071 eV/atom.



Version i
A plane-wave DFT calculation with PBE was carried out for Pm2DyMg2 after structural relaxation.

Unit cell a=6.0153 b=6.0153 c=6.0153 alpha=128.26 beta=108.47 gamma=93.67
Fractional coordinates of all 5 atoms:
Pm1 0.1948 0.1948 0.0000
Pm2 0.8052 0.8052 0.0000
Dy1 0.5000 0.0000 0.5000
Mg1 0.2084 0.5000 0.7084
Mg2 0.7916 0.5000 0.2916

Results
- D(E_F): 7.2 states/eV per cell
- M_tot: 0.00 Bohr magnetons per cell



Version ii
A plane-wave DFT calculation with PBE was carried out for Pm2DyMg2 after structural relaxation.

Unit cell a=3.8156 b=5.4764 c=14.2206 alpha=90.00 beta=97.74 gamma=90.00
Fractional coordinates of all 10 atoms:
Pm1 0.0449 0.2500 0.0893
Pm2 0.2360 0.2500 0.4738
Pm3 0.7640 0.7500 0.5262
Pm4 0.9551 0.7500 0.9107
Dy1 0.1504 0.7500 0.3000
Dy2 0.8496 0.2500 0.7000
Mg1 0.3600 0.7500 0.7200
Mg2 0.4458 0.2500 0.8910
Mg3 0.5542 0.7500 0.1090
Mg4 0.6400 0.2500 0.2800

Results
- D(E_F): 10.9 states/eV per cell
- M_tot: 0.00 Bohr magnetons per cell



Preferred: version ii; penalty for the next structure: 0.113 eV/atom.



Version i
A plane-wave DFT calculation with PBE was carried out for Pm2DyMg4 after structural relaxation.

Unit cell a=8.2511 b=8.2511 c=8.2511 alpha=141.53 beta=141.53 gamma=55.54
Fractional coordinates of all 7 atoms:
Pm1 0.2473 0.2473 0.0000
Pm2 0.7527 0.7527 0.0000
Dy1 0.5000 0.5000 0.0000
Mg1 0.1139 0.6139 0.5000
Mg2 0.3861 0.8861 0.5000
Mg3 0.6139 0.1139 0.5000
Mg4 0.8861 0.3861 0.5000

Results
- D(E_F): 6.1 states/eV per cell
- M_tot: 0.00 Bohr magnetons per cell



Version ii
A plane-wave DFT calculation with PBE was carried out for Pm2DyMg4 after structural relaxation.

Unit cell a=7.3093 b=7.3093 c=5.4607 alpha=90.00 beta=90.00 gamma=131.16
Fractional coordinates of all 7 atoms:
Pm1 0.1358 0.8642 0.0000
Pm2 0.8642 0.1358 0.0000
Dy1 0.5000 0.5000 0.5000
Mg1 0.2657 0.7343 0.5000
Mg2 0.3861 0.6139 0.0000
Mg3 0.6139 0.3861 0.0000
Mg4 0.7343 0.2657 0.5000

Results
- D(E_F): 6.0 states/eV per cell
- M_tot: 0.00 Bohr magnetons per cell



Preferred: version i; penalty for the next structure: 0.234 eV/atom.